(1)
Density functional theory data (PBE) for a geometry-optimized FeCoCBr structure.

## Properties
Energy above the most stable polymorph in this dataset (meV/atom): 12.0
Space-group type: R3m, No. 160

Cell: 3.133 3.133 19.227 Å, 90.00 90.00 120.00°
Atoms (fractional coordinates):
Fe1 0.000 0.000 0.000
Fe2 0.333 0.667 0.667
Fe3 0.667 0.333 0.333
Co1 0.000 0.000 0.752
Co2 0.333 0.667 0.419
Co3 0.667 0.333 0.085
C1 0.000 0.000 0.377
C2 0.333 0.667 0.044
C3 0.667 0.333 0.711
Br1 0.000 0.000 0.876
Br2 0.333 0.667 0.543
Br3 0.667 0.333 0.209

---

(2)
Density functional theory data (PBE) for a geometry-optimized Ho5Tc2 structure.

## Properties
Space-group type: C2/c, No. 15
Formation enthalpy at 0 K (kcal/mol of atoms): -2.2

Cell: 8.441 8.441 7.461 Å, 96.88 96.88 42.81°
Atoms (fractional coordinates):
Ho1 0.093 0.907 0.750
Ho2 0.131 0.303 0.318
Ho3 0.288 0.529 0.083
Ho4 0.303 0.131 0.818
Ho5 0.471 0.712 0.417
Ho6 0.529 0.288 0.583
Ho7 0.697 0.869 0.182
Ho8 0.712 0.471 0.917
Ho9 0.869 0.697 0.682
Ho10 0.907 0.093 0.250
Tc1 0.095 0.687 0.423
Tc2 0.313 0.905 0.077
Tc3 0.687 0.095 0.923
Tc4 0.905 0.313 0.577